[1]
A relaxed structure of AcLaNi, computed with PBE.

Geometry as CIF:
```
data_AcLaNi
_space_group_name_H-M_alt 'F -4 3 m'
_space_group_IT_number 216
_space_group_name_Hall 'F -4 2 3'
_cell_length_a 7.1783
_cell_length_b 7.1783
_cell_length_c 7.1783
_cell_angle_alpha 90.00
_cell_angle_beta 90.00
_cell_angle_gamma 90.00
loop_
_atom_site_label
_atom_site_fract_x
_atom_site_fract_y
_atom_site_fract_z
Ac1 0.0000 0.0000 0.0000
La1 0.0000 0.0000 0.5000
Ni1 0.2500 0.2500 0.2500
```

* raw total energy: -4.89 eV per atom

=====

[2]
A relaxed structure of LaPrTeO2, computed with PBE.

Geometry as CIF:
```
data_LaPrTeO2
_space_group_name_H-M_alt 'P 3 m 1'
_space_group_IT_number 156
_space_group_name_Hall 'P 3 -2"'
_cell_length_a 4.1034
_cell_length_b 4.1034
_cell_length_c 7.4970
_cell_angle_alpha 90.00
_cell_angle_beta 90.00
_cell_angle_gamma 120.00
loop_
_atom_site_label
_atom_site_fract_x
_atom_site_fract_y
_atom_site_fract_z
La1 0.0000 0.0000 0.0000
Pr1 0.3333 0.6667 0.6022
Te1 0.6667 0.3333 0.3047
O1 0.0000 0.0000 0.6816
O2 0.3333 0.6667 0.9213
```

* raw total energy: -7.41 eV per atom

=====

[3]
A relaxed structure of RbHoSeO, computed with PBE.

Geometry as CIF:
```
data_RbHoSeO
_space_group_name_H-M_alt 'C 1 2 1'
_space_group_IT_number 5
_space_group_name_Hall 'C 2y'
_cell_length_a 5.7965
_cell_length_b 5.7954
_cell_length_c 12.1538
_cell_angle_alpha 90.00
_cell_angle_beta 103.48
_cell_angle_gamma 90.00
loop_
_atom_site_label
_atom_site_fract_x
_atom_site_fract_y
_atom_site_fract_z
Rb1 0.1864 0.0000 0.3898
Ho1 0.2092 0.2464 0.9155
Se1 0.1254 0.5002 0.2666
O1 0.0000 0.4960 0.0000
O2 0.0000 0.9958 0.0000
```

* raw total energy: -5.72 eV per atom